[1]
# GdHo2Cu4Pb4

A relaxed structure of GdHo2Cu4Pb4 (PBE-GGA, OQMD via LeMat-Bulk).

Lattice parameters (Å, degrees): 8.584 8.584 8.584 149.33 131.23 58.72
Element x y z (fractional)
Ho: 0.632 0.132 0.500
Pb: 0.293 0.500 0.793
Cu: 0.359 0.671 0.688
Pb: 0.217 0.217 0.000
Pb: 0.783 0.783 0.000
Gd: 0.000 0.000 0.000
Cu: 0.017 0.329 0.688
Cu: 0.983 0.671 0.312
Ho: 0.368 0.868 0.500
Pb: 0.707 0.500 0.207
Cu: 0.641 0.329 0.312

Total DFT energy (no corrections)   -4.2123 eV/atom
Total magnetic moment   0.00 μB per formula unit

[2]
# GdHoCu2Pb2

A relaxed structure of GdHoCu2Pb2 (PBE-GGA, OQMD via LeMat-Bulk).

Lattice parameters (Å, degrees): 4.610 4.610 7.376 90.00 90.00 120.00
Element x y z (fractional)
Cu: 0.333 0.667 0.051
Cu: 0.667 0.333 0.559
Pb: 0.333 0.667 0.465
Pb: 0.667 0.333 0.960
Gd: 0.000 0.000 0.232
Ho: 0.000 0.000 0.732

Total DFT energy (no corrections)   -4.4101 eV/atom
Total magnetic moment   0.00 μB per formula unit

[3]
# GdHoCu2Sb4

A relaxed structure of GdHoCu2Sb4 (PBE-GGA, OQMD via LeMat-Bulk).

Lattice parameters (Å, degrees): 4.316 4.316 9.842 90.00 90.00 90.00
Element x y z (fractional)
Sb: 0.500 0.500 0.663
Ho: 0.000 0.000 0.750
Gd: 0.500 0.500 0.250
Cu: 0.500 0.000 0.501
Sb: 0.000 0.000 0.339
Sb: 0.500 0.000 0.998
Sb: 0.000 0.500 0.998
Cu: 0.000 0.500 0.501

Total DFT energy (no corrections)   -4.7643 eV/atom
Total magnetic moment   0.00 μB per formula unit

[4]
# GdHoCu2Si4

A relaxed structure of GdHoCu2Si4 (PBE-GGA, OQMD via LeMat-Bulk).

Lattice parameters (Å, degrees): 3.984 8.680 8.680 26.77 90.00 90.00
Element x y z (fractional)
Ho: 0.500 0.398 0.398
Cu: 0.000 0.828 0.828
Si: 0.000 0.963 0.963
Si: 0.500 0.036 0.036
Si: 0.500 0.750 0.750
Cu: 0.500 0.172 0.172
Gd: 0.000 0.602 0.602
Si: 0.000 0.251 0.251

Total DFT energy (no corrections)   -5.3713 eV/atom
Total magnetic moment   0.00 μB per formula unit